Entry 1:
# Ac3GaRu | the Alexandria database | PBE | relaxed
# Calculated volume ... 333.8 Å³/cell
# Energy of formation ... -18.39 kJ per mole of atoms
data_Ac3GaRu
_chemical_formula_sum 'Ac6 Ga2 Ru2'
_space_group_name_H-M_alt 'P 1 m 1'
_space_group_IT_number 6
_cell_length_a 7.6116
_cell_length_b 5.4827
_cell_length_c 8.0438
_cell_angle_alpha 90.00
_cell_angle_beta 96.13
_cell_angle_gamma 90.00
loop_
_space_group_symop_operation_xyz
'x,y,z'
'x,-y,z'
loop_
_atom_site_label
_atom_site_type_symbol
_atom_site_fract_x
_atom_site_fract_y
_atom_site_fract_z
Ac1 Ac 0.0000 0.0000 0.0000
Ac2 Ac 0.0494 0.5000 0.3382
Ac3 Ac 0.3045 0.0000 0.6253
Ac4 Ac 0.4563 0.0000 0.1617
Ac5 Ac 0.5878 0.5000 0.8702
Ac6 Ac 0.7928 0.0000 0.5444
Ga1 Ga 0.0946 0.5000 0.7625
Ga2 Ga 0.4928 0.5000 0.3817
Ru1 Ru 0.2518 0.5000 0.0702
Ru2 Ru 0.6384 0.0000 0.8392



Entry 2:
# TlAg6Pd12 | the Alexandria database | PBE | relaxed
# Calculated volume ... 979.7 Å³/cell
# Energy of formation ... 5.77 kJ per mole of atoms
data_TlAg6Pd12
_chemical_formula_sum 'Tl3 Ag18 Pd36'
_space_group_name_H-M_alt 'R -3 m'
_space_group_IT_number 166
_space_group_name_Hall '-R 3 2"'
_cell_length_a 10.9386
_cell_length_b 10.9386
_cell_length_c 9.4543
_cell_angle_alpha 90.00
_cell_angle_beta 90.00
_cell_angle_gamma 120.00
loop_
_atom_site_label
_atom_site_type_symbol
_atom_site_fract_x
_atom_site_fract_y
_atom_site_fract_z
Tl1 Tl 0.0000 0.0000 0.0000
Ag1 Ag 0.0865 0.1730 0.7443
Pd1 Pd 0.0000 0.2605 0.0000
Pd2 Pd 0.0625 0.5312 0.1219



Entry 3:
# AcZn11Ni | the Alexandria database | PBE | relaxed
# Calculated volume ... 428.8 Å³/cell
# Energy of formation ... -17.82 kJ per mole of atoms
data_AcZn11Ni
_chemical_formula_sum 'Ac2 Zn22 Ni2'
_space_group_name_H-M_alt 'C 1 2/m 1'
_space_group_IT_number 12
_cell_length_a 5.0357
_cell_length_b 13.0449
_cell_length_c 6.9608
_cell_angle_alpha 90.00
_cell_angle_beta 110.33
_cell_angle_gamma 90.00
loop_
_space_group_symop_operation_xyz
'x,y,z'
'-x,-y,-z'
'-x,y,-z'
'x,-y,z'
'x+1/2,y+1/2,z'
'-x+1/2,-y+1/2,-z'
'-x+1/2,y+1/2,-z'
'x+1/2,-y+1/2,z'
loop_
_atom_site_label
_atom_site_type_symbol
_atom_site_fract_x
_atom_site_fract_y
_atom_site_fract_z
Ac1 Ac 0.0000 0.0000 0.0000
Zn1 Zn 0.0000 0.0000 0.5000
Zn2 Zn 0.1105 0.3873 0.2373
Zn3 Zn 0.1917 0.1744 0.3642
Zn4 Zn 0.2500 0.2500 0.0000
Ni1 Ni 0.0000 0.5000 0.5000



Entry 4:
# Tl2Te | the Alexandria database | PBE | relaxed
# Calculated volume ... 493.2 Å³/cell
# Formation energy (no corrections) ... -0.76 eV/f.u.
data_Tl2Te
_chemical_formula_sum 'Tl8 Te4'
_space_group_name_H-M_alt 'F m -3 m'
_space_group_IT_number 225
_space_group_name_Hall '-F 4 2 3'
_cell_length_a 7.9010
_cell_length_b 7.9010
_cell_length_c 7.9010
_cell_angle_alpha 90.00
_cell_angle_beta 90.00
_cell_angle_gamma 90.00
loop_
_atom_site_label
_atom_site_type_symbol
_atom_site_fract_x
_atom_site_fract_y
_atom_site_fract_z
Tl1 Tl 0.2500 0.2500 0.2500
Te1 Te 0.0000 0.0000 0.0000



Entry 5:
# CdBr | the Alexandria database | PBE | relaxed
# Calculated volume ... 459.6 Å³/cell
# Formation energy (no corrections) ... -1.06 eV/f.u.
data_CdBr
_chemical_formula_sum 'Cd6 Br6'
_space_group_name_H-M_alt 'P 63/m'
_space_group_IT_number 176
_space_group_name_Hall '-P 6c'
_cell_length_a 11.7631
_cell_length_b 11.7631
_cell_length_c 3.8354
_cell_angle_alpha 90.00
_cell_angle_beta 90.00
_cell_angle_gamma 120.00
loop_
_atom_site_label
_atom_site_type_symbol
_atom_site_fract_x
_atom_site_fract_y
_atom_site_fract_z
Cd1 Cd 0.0270 0.4222 0.2500
Br1 Br 0.1688 0.3679 0.7500



Entry 6:
# ScVBi | the Alexandria database | PBE | relaxed
# Calculated volume ... 519.8 Å³/cell
# Energy of formation ... -9.55 kJ per mole of atoms
data_ScVBi
_chemical_formula_sum 'Sc8 V8 Bi8'
_space_group_name_H-M_alt 'C m c e'
_space_group_IT_number 64
_space_group_name_Hall '-C 2ac 2'
_cell_length_a 6.2432
_cell_length_b 10.2237
_cell_length_c 8.1432
_cell_angle_alpha 90.00
_cell_angle_beta 90.00
_cell_angle_gamma 90.00
loop_
_atom_site_label
_atom_site_type_symbol
_atom_site_fract_x
_atom_site_fract_y
_atom_site_fract_z
Sc1 Sc 0.2500 0.1043 0.2500
V1 V 0.0000 0.0884 0.5572
Bi1 Bi 0.0000 0.1501 0.9071



Entry 7:
# Te2PbSe | the Alexandria database | PBE | relaxed
# Calculated volume ... 618.5 Å³/cell
# Formation energy (no corrections) ... 0.25 eV/f.u.
data_Te2PbSe
_chemical_formula_sum 'Te8 Pb4 Se4'
_space_group_name_H-M_alt 'I -4 2 d'
_space_group_IT_number 122
_space_group_name_Hall 'I -4 2bw'
_cell_length_a 5.9961
_cell_length_b 5.9961
_cell_length_c 17.2025
_cell_angle_alpha 90.00
_cell_angle_beta 90.00
_cell_angle_gamma 90.00
loop_
_atom_site_label
_atom_site_type_symbol
_atom_site_fract_x
_atom_site_fract_y
_atom_site_fract_z
Te1 Te 0.1944 0.2500 0.1250
Pb1 Pb 0.0000 0.0000 0.5000
Se1 Se 0.0000 0.0000 0.0000



Entry 8:
# HoTmTe | the Alexandria database | PBE | relaxed
# Calculated volume ... 180.5 Å³/cell
# Formation energy (no corrections) ... -2.28 eV/f.u.
data_HoTmTe
_chemical_formula_sum 'Ho2 Tm2 Te2'
_space_group_name_H-M_alt 'P -1'
_space_group_IT_number 2
_cell_length_a 3.9736
_cell_length_b 6.0642
_cell_length_c 8.1972
_cell_angle_alpha 76.08
_cell_angle_beta 89.84
_cell_angle_gamma 70.90
loop_
_space_group_symop_operation_xyz
'x,y,z'
'-x,-y,-z'
loop_
_atom_site_label
_atom_site_type_symbol
_atom_site_fract_x
_atom_site_fract_y
_atom_site_fract_z
Ho1 Ho 0.1129 0.2707 0.2971
Tm1 Tm 0.3726 0.7540 0.0465
Te1 Te 0.1714 0.1613 0.6844



Entry 9:
# Tm8RePd2 | the Alexandria database | PBE | relaxed
# Calculated volume ... 568.4 Å³/cell
# Energy of formation ... -25.64 kJ per mole of atoms
data_Tm8RePd2
_chemical_formula_sum 'Tm16 Re2 Pd4'
_space_group_name_H-M_alt 'C 1 m 1'
_space_group_IT_number 8
_cell_length_a 8.2391
_cell_length_b 12.9755
_cell_length_c 5.6330
_cell_angle_alpha 90.00
_cell_angle_beta 109.29
_cell_angle_gamma 90.00
loop_
_space_group_symop_operation_xyz
'x,y,z'
'x,-y,z'
'x+1/2,y+1/2,z'
'x+1/2,-y+1/2,z'
loop_
_atom_site_label
_atom_site_type_symbol
_atom_site_fract_x
_atom_site_fract_y
_atom_site_fract_z
Tm1 Tm 0.0000 0.0000 0.0000
Tm2 Tm 0.0599 0.3791 0.7602
Tm3 Tm 0.1548 0.1212 0.5697
Tm4 Tm 0.2181 0.5000 0.3531
Tm5 Tm 0.3521 0.2136 0.1741
Re1 Re 0.3588 0.0000 0.2960
Pd1 Pd 0.3626 0.3066 0.6824



Entry 10:
# ZnBBr2 | the Alexandria database | PBE | relaxed
# Calculated volume ... 299.0 Å³/cell
# Formation energy (no corrections) ... 2.98 eV/f.u.
data_ZnBBr2
_chemical_formula_sum 'Zn3 B3 Br6'
_space_group_name_H-M_alt 'R -3 m'
_space_group_IT_number 166
_space_group_name_Hall '-R 3 2"'
_cell_length_a 3.3814
_cell_length_b 3.3814
_cell_length_c 30.1940
_cell_angle_alpha 90.00
_cell_angle_beta 90.00
_cell_angle_gamma 120.00
loop_
_atom_site_label
_atom_site_type_symbol
_atom_site_fract_x
_atom_site_fract_y
_atom_site_fract_z
Zn1 Zn 0.0000 0.0000 0.0000
B1 B 0.0000 0.0000 0.5000
Br1 Br 0.0000 0.0000 0.1195



Entry 11:
# Be2HgAs2O7 | the Alexandria database | PBE | relaxed
# Calculated volume ... 482.8 Å³/cell
# Formation energy (no corrections) ... -16.05 eV/f.u.
data_Be2HgAs2O7
_chemical_formula_sum 'Be6 Hg3 As6 O21'
_space_group_name_H-M_alt 'R 3 2'
_space_group_IT_number 155
_space_group_name_Hall 'R 3 2"'
_cell_length_a 4.9949
_cell_length_b 4.9949
_cell_length_c 22.3469
_cell_angle_alpha 90.00
_cell_angle_beta 90.00
_cell_angle_gamma 120.00
loop_
_atom_site_label
_atom_site_type_symbol
_atom_site_fract_x
_atom_site_fract_y
_atom_site_fract_z
Be1 Be 0.0000 0.0000 0.0696
Hg1 Hg 0.0000 0.0000 0.5000
As1 As 0.0000 0.0000 0.2677
O1 O 0.0000 0.0000 0.0000
O2 O 0.0072 0.3782 0.5686



Entry 12:
# LiZn2Pt2 | the Alexandria database | PBE | relaxed
# Calculated volume ... 175.0 Å³/cell
# Energy of formation ... -32.29 kJ per mole of atoms
data_LiZn2Pt2
_chemical_formula_sum 'Li2 Zn4 Pt4'
_space_group_name_H-M_alt 'I 4/m m m'
_space_group_IT_number 139
_space_group_name_Hall '-I 4 2'
_cell_length_a 3.9445
_cell_length_b 3.9445
_cell_length_c 11.2476
_cell_angle_alpha 90.00
_cell_angle_beta 90.00
_cell_angle_gamma 90.00
loop_
_atom_site_label
_atom_site_type_symbol
_atom_site_fract_x
_atom_site_fract_y
_atom_site_fract_z
Li1 Li 0.0000 0.0000 0.0000
Zn1 Zn 0.0000 0.0000 0.3936
Pt1 Pt 0.0000 0.5000 0.2500



Number 1: DOS(E_F) 9.5 states/eV per cell, raw total energy -5.116 eV per atom. Number 2: DOS(E_F) 66.8 states/eV per cell, raw total energy -4.245 eV per atom. Number 3: DOS(E_F) 8.4 states/eV per cell, raw total energy -2.023 eV per atom. Number 4: DOS(E_F) 1.8 states/eV per cell, raw total energy -2.878 eV per atom. Number 5: DOS(E_F) 1.6 states/eV per cell, raw total energy -1.825 eV per atom. Number 6: DOS(E_F) 23.2 states/eV per cell, raw total energy -6.543 eV per atom. Number 7: DOS(E_F) 4.8 states/eV per cell, raw total energy -3.307 eV per atom. Number 8: DOS(E_F) 7.0 states/eV per cell, raw total energy -4.823 eV per atom. Number 9: DOS(E_F) 21.2 states/eV per cell, raw total energy -5.594 eV per atom. Number 10: DOS(E_F) 8.3 states/eV per cell, raw total energy -2.080 eV per atom. Number 11: DOS(E_F) 19.4 states/eV per cell, raw total energy -5.651 eV per atom. Number 12: DOS(E_F) 2.9 states/eV per cell, raw total energy -3.643 eV per atom.